# 1
! CsTiBr3, single point on PBEsol structure, DFT SCAN; values from VASP
! - Fermi-level density of states (states/eV per cell) = 5.16
! - crystal system = hexagonal
! - energy relative to the lowest polymorph listed for this composition (eV/atom) = 0.0000
! - energy relative to the elements, uncorrected (kJ/mol of atoms) = -155
&SYSTEM
  ibrav = 0, nat = 10, ntyp = 3
/
ATOMIC_SPECIES
Cs 132.91 Cs.upf
Ti 47.87 Ti.upf
Br 79.90 Br.upf
CELL_PARAMETERS angstrom
7.694 0.000 0.000
-3.847 6.663 0.000
0.000 0.000 5.804
ATOMIC_POSITIONS angstrom
Cs 0.000 4.442 1.451
Cs 3.847 2.221 4.353
Ti 0.000 0.000 0.000
Ti 0.000 0.000 2.902
Br 0.000 2.196 4.353
Br -1.945 5.565 4.353
Br 1.902 1.098 1.451
Br 1.945 5.565 4.353
Br 5.792 1.098 1.451
Br 3.847 4.467 1.451

***

# 2
! Sc3ReRu, single point on PBEsol structure, DFT SCAN; values from VASP
! - Fermi-level density of states (states/eV per cell) = 4.73
! - energy of formation from the pure elements (eV/atom) = 0.714
! - crystal system = cubic
&SYSTEM
  ibrav = 0, nat = 5, ntyp = 3
/
ATOMIC_SPECIES
Sc 44.96 Sc.upf
Re 186.21 Re.upf
Ru 101.07 Ru.upf
CELL_PARAMETERS angstrom
4.847 0.000 0.000
0.000 4.847 0.000
0.000 0.000 4.847
ATOMIC_POSITIONS angstrom
Sc 0.000 0.000 2.424
Sc 0.000 2.424 0.000
Sc 2.424 0.000 0.000
Re 0.000 0.000 0.000
Ru 2.424 2.424 2.424

***

# 3
! ZnIn2Ag, single point on PBEsol structure, DFT SCAN; values from VASP
! - Fermi-level density of states (states/eV per cell) = 1.41
! - energy of formation from the pure elements (eV/atom) = 0.085
! - crystal system = tetragonal
&SYSTEM
  ibrav = 0, nat = 4, ntyp = 3
/
ATOMIC_SPECIES
Zn 65.41 Zn.upf
In 114.82 In.upf
Ag 107.87 Ag.upf
CELL_PARAMETERS angstrom
3.093 0.000 0.000
0.000 3.093 0.000
0.000 0.000 8.382
ATOMIC_POSITIONS angstrom
Zn 0.000 0.000 0.000
In 0.000 0.000 3.665
In 1.546 1.546 6.309
Ag 1.546 1.546 1.581

***

# 4
! IBrO3, single point on PBEsol structure, DFT SCAN; values from VASP
! - Fermi-level density of states (states/eV per cell) = 1.71
! - crystal system = cubic
! - energy relative to the elements, uncorrected (kJ/mol of atoms) = 40
&SYSTEM
  ibrav = 0, nat = 5, ntyp = 3
/
ATOMIC_SPECIES
I 126.90 I.upf
Br 79.90 Br.upf
O 16.00 O.upf
CELL_PARAMETERS angstrom
4.143 0.000 0.000
0.000 4.143 0.000
0.000 0.000 4.143
ATOMIC_POSITIONS angstrom
I 0.000 0.000 0.000
Br 2.072 2.072 2.072
O 0.000 0.000 2.072
O 0.000 2.072 0.000
O 2.072 0.000 0.000

***

# 5
! Li9Mn2Co5O16, single point on PBEsol structure, DFT SCAN; values from VASP
! - Fermi-level density of states (states/eV per cell) = 3.84
! - crystal system = monoclinic
! - energy relative to the lowest polymorph listed for this composition (eV/atom) = 0.0435
! - energy relative to the elements, uncorrected (kJ/mol of atoms) = -192
&SYSTEM
  ibrav = 0, nat = 32, ntyp = 4
/
ATOMIC_SPECIES
Li 6.94 Li.upf
Mn 54.94 Mn.upf
Co 58.93 Co.upf
O 16.00 O.upf
CELL_PARAMETERS angstrom
9.742 0.000 0.000
0.000 2.814 0.000
-3.206 0.000 9.333
ATOMIC_POSITIONS angstrom
Li 0.000 0.000 0.000
Li -0.725 1.407 2.119
Li 1.566 0.000 2.148
Li -0.061 0.000 7.059
Li 3.979 1.407 2.271
Li 2.404 1.407 7.008
Li 6.430 0.000 2.318
Li 4.889 0.000 7.004
Li 7.213 1.407 7.179
Mn 0.767 1.407 4.630
Mn 4.099 1.407 9.287
Co -0.868 1.407 9.306
Co 3.199 0.000 4.651
Co 1.597 0.000 9.315
Co 5.639 1.407 4.657
Co 8.074 0.000 4.642
O -0.836 1.407 5.654
O -0.040 0.000 3.594
O 0.877 1.407 1.085
O -1.550 0.000 8.257
O 1.564 0.000 5.698
O 3.206 0.000 0.974
O 2.393 1.407 3.633
O 0.810 1.407 8.309
O 3.997 1.407 5.631
O 5.603 1.407 1.010
O 3.204 0.000 8.279
O 4.812 0.000 3.662
O 7.949 0.000 1.044
O 5.496 1.407 8.185
O 6.466 0.000 5.635
O 7.259 1.407 3.672

***

# 6
! BaLiCo2, single point on PBEsol structure, DFT SCAN; values from VASP
! - Fermi-level density of states (states/eV per cell) = 2.96
! - energy of formation from the pure elements (eV/atom) = 0.482
! - crystal system = tetragonal
! - energy relative to the lowest polymorph listed for this composition (eV/atom) = 0.0592
&SYSTEM
  ibrav = 0, nat = 4, ntyp = 3
/
ATOMIC_SPECIES
Ba 137.33 Ba.upf
Li 6.94 Li.upf
Co 58.93 Co.upf
CELL_PARAMETERS angstrom
3.144 0.000 0.000
0.000 3.144 0.000
0.000 0.000 7.880
ATOMIC_POSITIONS angstrom
Ba 0.000 0.000 0.000
Li 1.572 1.572 4.828
Co 0.000 0.000 3.160
Co 1.572 1.572 2.389

***

# 7
! AlP2Pb, single point on PBEsol structure, DFT SCAN; values from VASP
! - Fermi-level density of states (states/eV per cell) = 3.98
! - energy of formation from the pure elements (eV/atom) = 0.184
! - crystal system = trigonal
! - energy relative to the lowest polymorph listed for this composition (eV/atom) = 0.3383
&SYSTEM
  ibrav = 0, nat = 12, ntyp = 3
/
ATOMIC_SPECIES
Al 26.98 Al.upf
P 30.97 P.upf
Pb 207.20 Pb.upf
CELL_PARAMETERS angstrom
3.332 0.000 0.000
-1.666 2.885 0.000
0.000 0.000 24.808
ATOMIC_POSITIONS angstrom
Al 0.000 0.000 0.000
Al 0.000 1.924 16.538
Al 1.666 0.962 8.269
P 0.000 0.000 11.372
P 0.000 0.000 18.355
P 0.000 1.924 3.102
P 0.000 1.924 10.086
P 1.666 0.962 1.817
P 1.666 0.962 19.641
Pb 0.000 0.000 5.841
Pb 0.000 1.924 22.379
Pb 1.666 0.962 14.110

***

# 8
! HfBePt3, single point on PBEsol structure, DFT SCAN; values from VASP
! - Fermi-level density of states (states/eV per cell) = 3.55
! - energy of formation from the pure elements (eV/atom) = -0.622
! - crystal system = cubic
&SYSTEM
  ibrav = 0, nat = 5, ntyp = 3
/
ATOMIC_SPECIES
Hf 178.49 Hf.upf
Be 9.01 Be.upf
Pt 195.08 Pt.upf
CELL_PARAMETERS angstrom
4.234 0.000 0.000
0.000 4.234 0.000
0.000 0.000 4.234
ATOMIC_POSITIONS angstrom
Hf 0.000 0.000 0.000
Be 2.117 2.117 2.117
Pt 0.000 2.117 2.117
Pt 2.117 0.000 2.117
Pt 2.117 2.117 0.000

***

# 9
! TiBe3Re, single point on PBEsol structure, DFT SCAN; values from VASP
! - Fermi-level density of states (states/eV per cell) = 1.64
! - energy of formation from the pure elements (eV/atom) = 1.769
! - crystal system = cubic
&SYSTEM
  ibrav = 0, nat = 5, ntyp = 3
/
ATOMIC_SPECIES
Ti 47.87 Ti.upf
Be 9.01 Be.upf
Re 186.21 Re.upf
CELL_PARAMETERS angstrom
3.994 0.000 0.000
0.000 3.994 0.000
0.000 0.000 3.994
ATOMIC_POSITIONS angstrom
Ti 0.000 0.000 0.000
Be 0.000 0.000 1.997
Be 0.000 1.997 0.000
Be 1.997 0.000 0.000
Re 1.997 1.997 1.997

***

# 10
! MgCo2Mo, single point on PBEsol structure, DFT SCAN; values from VASP
! - Fermi-level density of states (states/eV per cell) = 2.53
! - energy of formation from the pure elements (eV/atom) = 0.139
! - crystal system = tetragonal
&SYSTEM
  ibrav = 0, nat = 4, ntyp = 3
/
ATOMIC_SPECIES
Mg 24.30 Mg.upf
Co 58.93 Co.upf
Mo 95.94 Mo.upf
CELL_PARAMETERS angstrom
4.310 0.000 0.000
0.000 4.310 0.000
0.000 0.000 2.759
ATOMIC_POSITIONS angstrom
Mg 0.000 0.000 0.000
Co 0.000 2.155 1.380
Co 2.155 0.000 1.380
Mo 2.155 2.155 0.000

***

# 11
! CdRu, single point on PBEsol structure, DFT SCAN; values from VASP
! - Fermi-level density of states (states/eV per cell) = 6.08
! - energy of formation from the pure elements (eV/atom) = 0.437
! - crystal system = tetragonal
&SYSTEM
  ibrav = 0, nat = 8, ntyp = 2
/
ATOMIC_SPECIES
Cd 112.41 Cd.upf
Ru 101.07 Ru.upf
CELL_PARAMETERS angstrom
4.129 0.000 0.000
0.000 4.129 0.000
0.000 0.000 7.438
ATOMIC_POSITIONS angstrom
Cd 0.000 1.032 2.789
Cd 0.000 3.097 4.649
Cd 2.065 1.032 0.930
Cd 2.065 3.097 6.508
Ru 0.000 1.032 6.508
Ru 0.000 3.097 0.930
Ru 2.065 1.032 4.649
Ru 2.065 3.097 2.789

***

# 12
! Mg14MnCuO16, single point on PBEsol structure, DFT SCAN; values from VASP
! - Fermi-level density of states (states/eV per cell) = 2.15
! - crystal system = orthorhombic
! - energy relative to the lowest polymorph listed for this composition (eV/atom) = 0.0000
! - energy relative to the elements, uncorrected (kJ/mol of atoms) = -270
&SYSTEM
  ibrav = 0, nat = 32, ntyp = 4
/
ATOMIC_SPECIES
Mg 24.30 Mg.upf
Mn 54.94 Mn.upf
Cu 63.55 Cu.upf
O 16.00 O.upf
CELL_PARAMETERS angstrom
4.210 0.000 0.000
0.000 8.453 0.000
0.000 0.000 8.486
ATOMIC_POSITIONS angstrom
Mg 0.000 0.000 0.000
Mg 0.000 2.091 2.121
Mg 0.000 2.091 6.365
Mg 0.000 4.227 0.000
Mg 0.000 6.363 2.121
Mg 0.000 6.363 6.365
Mg 2.105 0.000 2.143
Mg 2.105 0.000 6.343
Mg 2.105 2.075 4.243
Mg 2.105 2.102 0.000
Mg 2.105 4.227 2.103
Mg 2.105 4.227 6.383
Mg 2.105 6.352 0.000
Mg 2.105 6.379 4.243
Mn 0.000 4.227 4.243
Cu 0.000 0.000 4.243
O 0.000 0.000 2.066
O 0.000 0.000 6.420
O 0.000 2.121 0.000
O 0.000 2.264 4.243
O 0.000 4.227 2.090
O 0.000 4.227 6.396
O 0.000 6.189 4.243
O 0.000 6.332 0.000
O 2.105 0.000 0.000
O 2.105 0.000 4.243
O 2.105 2.117 2.135
O 2.105 2.117 6.351
O 2.105 4.227 0.000
O 2.105 4.227 4.243
O 2.105 6.336 2.135
O 2.105 6.336 6.351

***

# 13
! Cd2RuCl2, single point on PBEsol structure, DFT SCAN; values from VASP
! - Fermi-level density of states (states/eV per cell) = 7.30
! - crystal system = tetragonal
! - energy relative to the elements, uncorrected (kJ/mol of atoms) = 30
&SYSTEM
  ibrav = 0, nat = 10, ntyp = 3
/
ATOMIC_SPECIES
Cd 112.41 Cd.upf
Ru 101.07 Ru.upf
Cl 35.45 Cl.upf
CELL_PARAMETERS angstrom
5.329 0.000 0.000
0.000 5.329 0.000
0.000 0.000 7.222
ATOMIC_POSITIONS angstrom
Cd 0.000 2.664 1.805
Cd 0.000 2.664 5.416
Cd 2.664 0.000 1.805
Cd 2.664 0.000 5.416
Ru 0.000 0.000 0.000
Ru 2.664 2.664 3.611
Cl 0.000 0.000 2.254
Cl 0.000 0.000 4.968
Cl 2.664 2.664 1.357
Cl 2.664 2.664 5.865

***

# 14
! BaMg2Cd2, single point on PBEsol structure, DFT SCAN; values from VASP
! - Fermi-level density of states (states/eV per cell) = 7.25
! - energy of formation from the pure elements (eV/atom) = -0.296
! - crystal system = tetragonal
&SYSTEM
  ibrav = 0, nat = 10, ntyp = 3
/
ATOMIC_SPECIES
Ba 137.33 Ba.upf
Mg 24.30 Mg.upf
Cd 112.41 Cd.upf
CELL_PARAMETERS angstrom
4.704 0.000 0.000
0.000 4.704 0.000
0.000 0.000 12.877
ATOMIC_POSITIONS angstrom
Ba 0.000 0.000 0.000
Ba 2.352 2.352 6.438
Mg 0.000 2.352 3.219
Mg 0.000 2.352 9.658
Mg 2.352 0.000 3.219
Mg 2.352 0.000 9.658
Cd 0.000 0.000 4.989
Cd 0.000 0.000 7.888
Cd 2.352 2.352 1.450
Cd 2.352 2.352 11.427

***

# 15
! SrHfMg2Te, single point on PBEsol structure, DFT SCAN; values from VASP
! - Fermi-level density of states (states/eV per cell) = 3.71
! - crystal system = tetragonal
! - energy relative to the elements, uncorrected (kJ/mol of atoms) = 84
&SYSTEM
  ibrav = 0, nat = 5, ntyp = 4
/
ATOMIC_SPECIES
Sr 87.62 Sr.upf
Hf 178.49 Hf.upf
Mg 24.30 Mg.upf
Te 127.60 Te.upf
CELL_PARAMETERS angstrom
5.535 0.000 0.000
0.000 5.535 0.000
0.000 0.000 5.979
ATOMIC_POSITIONS angstrom
Sr 0.000 0.000 0.000
Hf 0.000 0.000 2.990
Mg 0.000 2.768 2.990
Mg 2.768 0.000 2.990
Te 2.768 2.768 0.000

***

# 16
! Ti3Bi, single point on PBEsol structure, DFT SCAN; values from VASP
! - Fermi-level density of states (states/eV per cell) = 11.39
! - energy of formation from the pure elements (eV/atom) = -0.164
! - crystal system = hexagonal
&SYSTEM
  ibrav = 0, nat = 8, ntyp = 2
/
ATOMIC_SPECIES
Ti 47.87 Ti.upf
Bi 208.98 Bi.upf
CELL_PARAMETERS angstrom
5.913 0.000 0.000
-2.956 5.120 0.000
0.000 0.000 4.762
ATOMIC_POSITIONS angstrom
Ti 0.000 1.624 1.190
Ti -1.550 4.308 1.190
Ti 1.406 0.812 3.571
Ti 1.550 4.308 1.190
Ti 4.506 0.812 3.571
Ti 2.956 3.496 3.571
Bi 0.000 3.414 3.571
Bi 2.956 1.707 1.190

***

# 17
! Sr2CoSb, single point on PBEsol structure, DFT SCAN; values from VASP
! - Fermi-level density of states (states/eV per cell) = 2.15
! - crystal system = tetragonal
! - energy relative to the elements, uncorrected (kJ/mol of atoms) = -12
&SYSTEM
  ibrav = 0, nat = 8, ntyp = 3
/
ATOMIC_SPECIES
Sr 87.62 Sr.upf
Co 58.93 Co.upf
Sb 121.76 Sb.upf
CELL_PARAMETERS angstrom
4.595 0.000 0.000
0.000 4.595 0.000
0.000 0.000 10.241
ATOMIC_POSITIONS angstrom
Sr 0.000 0.000 0.000
Sr 0.000 2.298 2.560
Sr 2.298 0.000 7.681
Sr 2.298 2.298 5.120
Co 0.000 0.000 5.120
Co 2.298 2.298 0.000
Sb 0.000 2.298 7.681
Sb 2.298 0.000 2.560

***

# 18
! VCu3S4, single point on PBEsol structure, DFT SCAN; values from VASP
! - crystal system = cubic
! - energy relative to the elements, uncorrected (kJ/mol of atoms) = -68
&SYSTEM
  ibrav = 0, nat = 8, ntyp = 3
/
ATOMIC_SPECIES
V 50.94 V.upf
Cu 63.55 Cu.upf
S 32.06 S.upf
CELL_PARAMETERS angstrom
5.306 0.000 0.000
0.000 5.306 0.000
0.000 0.000 5.306
ATOMIC_POSITIONS angstrom
V 0.000 0.000 0.000
Cu 0.000 0.000 2.653
Cu 0.000 2.653 0.000
Cu 2.653 0.000 0.000
S 1.271 1.271 1.271
S 1.271 4.035 4.035
S 4.035 1.271 4.035
S 4.035 4.035 1.271

***

# 19
! MgMoRh2, single point on PBEsol structure, DFT SCAN; values from VASP
! - Fermi-level density of states (states/eV per cell) = 2.31
! - energy of formation from the pure elements (eV/atom) = -0.371
! - crystal system = tetragonal
&SYSTEM
  ibrav = 0, nat = 4, ntyp = 3
/
ATOMIC_SPECIES
Mg 24.30 Mg.upf
Mo 95.94 Mo.upf
Rh 102.91 Rh.upf
CELL_PARAMETERS angstrom
2.840 0.000 0.000
0.000 2.840 0.000
0.000 0.000 7.217
ATOMIC_POSITIONS angstrom
Mg 0.000 0.000 0.000
Mo 0.000 0.000 3.608
Rh 1.420 1.420 1.855
Rh 1.420 1.420 5.362

***

# 20
! RbSi2Rh, single point on PBEsol structure, DFT SCAN; values from VASP
! - Fermi-level density of states (states/eV per cell) = 5.15
! - crystal system = cubic
! - energy relative to the elements, uncorrected (kJ/mol of atoms) = 76
&SYSTEM
  ibrav = 0, nat = 16, ntyp = 3
/
ATOMIC_SPECIES
Rb 85.47 Rb.upf
Si 28.09 Si.upf
Rh 102.91 Rh.upf
CELL_PARAMETERS angstrom
6.540 0.000 0.000
0.000 6.540 0.000
0.000 0.000 6.540
ATOMIC_POSITIONS angstrom
Rb 0.000 0.000 0.000
Rb 0.000 3.270 3.270
Rb 3.270 0.000 3.270
Rb 3.270 3.270 0.000
Si 1.635 1.635 1.635
Si 1.635 1.635 4.905
Si 1.635 4.905 1.635
Si 1.635 4.905 4.905
Si 4.905 1.635 1.635
Si 4.905 1.635 4.905
Si 4.905 4.905 1.635
Si 4.905 4.905 4.905
Rh 0.000 0.000 3.270
Rh 0.000 3.270 0.000
Rh 3.270 0.000 0.000
Rh 3.270 3.270 3.270

***

no.,energy (eV/atom)
1,-24.049
2,-29.013
3,-27.829
4,-14.567
5,-9.625
6,-18.655
7,-25.899
8,-56.144
9,-18.268
10,-18.478
11,-32.183
12,-9.138
13,-22.011
14,-22.361
15,-25.559
16,-31.832
17,-24.907
18,-13.400
19,-27.221
20,-17.849